# PBE-GGA Sr2Pd2I, relaxed
data_Sr2Pd2I
_chemical_formula_sum 'Sr4 Pd4 I2'
_space_group_name_H-M_alt 'I 4/m m m'
_space_group_IT_number 139
_space_group_name_Hall '-I 4 2'
_cell_length_a 5.893
_cell_length_b 5.893
_cell_length_c 8.659
_cell_angle_alpha 90.00
_cell_angle_beta 90.00
_cell_angle_gamma 90.00
loop_
_atom_site_label
_atom_site_type_symbol
_atom_site_fract_x
_atom_site_fract_y
_atom_site_fract_z
_atom_site_occupancy
Sr1 Sr 0.000 0.500 0.250 1
Pd1 Pd 0.000 0.000 0.150 1
I1 I 0.000 0.000 0.500 1
# Volume ... 300.73 Å³ per cell
# Polymorph energy (0 for the lowest one) ... 0.509 eV per formula unit
# Density of states at the Fermi level ... 0.504 states/eV per atom